#a
Compound: MnAs2I
Source: the Alexandria database
Functional: PBE-GGA
Structure: optimized geometry

Unit cell a=6.2728 b=6.2728 c=7.2736 alpha=64.46 beta=64.46 gamma=90.00
Last column: nearest neighbours and their distance in Å.
Atoms (fractional coordinates):
I1 0.0000 0.0000 0.0000  4 As 3.16
I2 0.7500 0.2500 0.5000  4 As 3.16
As1 0.5026 0.1250 0.2500  2 Mn 2.28
As2 0.2474 0.6250 0.2500  2 Mn 2.28
As3 0.3750 0.4974 0.7500  2 Mn 2.28
As4 0.8750 0.7526 0.7500  2 Mn 2.28
Mn1 0.5000 0.5000 0.0000  4 As 2.28
Mn2 0.2500 0.7500 0.5000  4 As 2.28

calculated volume = 226.8 Å³ per cell
magnetization = 1.787 μB per formula unit

#b
Compound: MnAs2I
Source: the Alexandria database
Functional: PBE-GGA
Structure: optimized geometry

Unit cell a=4.7538 b=4.7538 c=4.7538 alpha=60.00 beta=60.00 gamma=60.00
Last column: nearest neighbours and their distance in Å.
Atoms (fractional coordinates):
I1 0.5000 0.5000 0.5000  8 As 2.91
As1 0.2500 0.2500 0.2500  4 Mn 2.91, 4 I 2.91
As2 0.7500 0.7500 0.7500  4 I 2.91, 4 Mn 2.91
Mn1 0.0000 0.0000 0.0000  8 As 2.91

calculated volume = 76.0 Å³ per cell
magnetization = 0.000 μB per formula unit

Tell me which of them is the most stable. Sure, it is #a.

#a
Compound: MnAs2I8
Source: the Alexandria database
Functional: PBE-GGA
Structure: optimized geometry

Unit cell a=7.7071 b=8.5490 c=8.5490 alpha=96.69 beta=83.77 gamma=83.77
Last column: nearest neighbours and their distance in Å.
Atoms (fractional coordinates):
Mn1 0.0000 0.0000 0.0000  6 I 2.84-2.97
As1 0.3931 0.1849 0.1849  3 I 2.57-2.76
As2 0.6069 0.8151 0.8151  3 I 2.57-2.76
I1 0.7883 0.0618 0.7380  1 As 2.76, 1 Mn 2.97
I2 0.2117 0.2620 0.9382  1 As 2.76, 1 Mn 2.97
I3 0.7673 0.2215 0.2215  1 Mn 2.84, 1 As 2.98
I4 0.2327 0.7785 0.7785  1 Mn 2.84, 1 As 2.98
I5 0.7883 0.7380 0.0618  1 As 2.76, 1 Mn 2.97
I6 0.2117 0.9382 0.2620  1 As 2.76, 1 Mn 2.97
I7 0.2652 0.4088 0.4088  1 As 2.57
I8 0.7348 0.5912 0.5912  1 As 2.57

calculated volume = 551.9 Å³ per cell
magnetization = 4.995 μB per formula unit

#b
Compound: MnAs2I8
Source: the Alexandria database
Functional: PBE-GGA
Structure: optimized geometry

Unit cell a=4.2647 b=10.2448 c=11.4845 alpha=94.70 beta=103.12 gamma=91.46
Last column: nearest neighbours and their distance in Å.
Atoms (fractional coordinates):
Mn1 0.5000 0.0000 0.0000  6 I 2.80-3.03
As1 0.8995 0.7175 0.3232  3 I 2.59-2.67
As2 0.1005 0.2825 0.6768  3 I 2.59-2.67
I1 0.5077 0.5310 0.2001  1 As 2.60
I2 0.4289 0.0722 0.7449  1 As 2.67
I3 0.2421 0.2860 0.4690  1 As 2.59
I4 0.9150 0.8221 0.9229  2 Mn 2.80-2.97
I5 0.7579 0.7140 0.5310  1 As 2.59
I6 0.5711 0.9278 0.2551  1 As 2.67
I7 0.4923 0.4690 0.7999  1 As 2.60
I8 0.0850 0.1779 0.0771  2 Mn 2.80-2.97

calculated volume = 486.5 Å³ per cell
magnetization = 5.000 μB per formula unit

Tell me which of them is the most stable. Sure, it is #b.

#a
Compound: MnAsI2N
Source: the Alexandria database
Functional: PBE-GGA
Structure: optimized geometry

Unit cell a=5.9802 b=5.9802 c=3.6959 alpha=90.00 beta=90.00 gamma=90.00
Last column: nearest neighbours and their distance in Å.
Atoms (fractional coordinates):
I1 0.0000 0.5000 0.0000  2 As 2.99
I2 0.5000 0.0000 0.0000  2 As 2.99
As1 0.0000 0.0000 0.0000  2 N 1.85
Mn1 0.5000 0.5000 0.5000  8 I 3.52, 2 Mn 3.70
N1 0.0000 0.0000 0.5000  2 As 1.85

calculated volume = 132.2 Å³ per cell
magnetization = 4.870 μB per formula unit

#b
Compound: MnAsI2N
Source: the Alexandria database
Functional: PBE-GGA
Structure: optimized geometry

Unit cell a=5.5081 b=5.5081 c=3.5602 alpha=90.00 beta=90.00 gamma=90.00
Last column: nearest neighbours and their distance in Å.
Atoms (fractional coordinates):
I1 0.0000 0.5000 0.0000  2 Mn 2.75
I2 0.5000 0.0000 0.0000  2 Mn 2.75
As1 0.5000 0.5000 0.5000  8 I 3.28, 2 As 3.56
Mn1 0.0000 0.0000 0.0000  2 N 1.78
N1 0.0000 0.0000 0.5000  2 Mn 1.78

calculated volume = 108.0 Å³ per cell
magnetization = 1.775 μB per formula unit

Tell me which of them is the most stable. Sure, it is #b.

#a
Compound: MnTe2AsI
Source: the Alexandria database
Functional: PBE-GGA
Structure: optimized geometry

Unit cell a=5.5257 b=5.5257 c=5.4907 alpha=90.00 beta=90.00 gamma=90.00
Last column: nearest neighbours and their distance in Å.
Atoms (fractional coordinates):
I1 0.0000 0.0000 0.5000  2 As 2.75
As1 0.0000 0.0000 0.0000  2 I 2.75, 4 Te 2.76
Te1 0.0000 0.5000 0.0000  2 As 2.76
Te2 0.5000 0.0000 0.0000  2 As 2.76
Mn1 0.5000 0.5000 0.5000  8 Te 3.89, 4 I 3.91

calculated volume = 167.6 Å³ per cell
magnetization = 5.152 μB per formula unit

#b
Compound: MnTe2AsI
Source: the Alexandria database
Functional: PBE-GGA
Structure: optimized geometry

Unit cell a=4.9448 b=4.9448 c=5.3814 alpha=90.00 beta=90.00 gamma=90.00
Last column: nearest neighbours and their distance in Å.
Atoms (fractional coordinates):
I1 0.0000 0.0000 0.5000  2 Mn 2.69
As1 0.5000 0.5000 0.5000  4 I 3.50, 8 Te 3.65
Te1 0.0000 0.5000 0.0000  2 Mn 2.47
Te2 0.5000 0.0000 0.0000  2 Mn 2.47
Mn1 0.0000 0.0000 0.0000  4 Te 2.47, 2 I 2.69

calculated volume = 131.6 Å³ per cell
magnetization = 0.000 μB per formula unit

Tell me which of them is the most stable. Sure, it is #a.

#a
Compound: MoAs2I
Source: the Alexandria database
Functional: PBE-GGA
Structure: optimized geometry

Unit cell a=6.6360 b=6.6360 c=7.3449 alpha=63.14 beta=63.14 gamma=90.00
Last column: nearest neighbours and their distance in Å.
Atoms (fractional coordinates):
I1 0.0000 0.0000 0.0000  4 As 3.19
I2 0.7500 0.2500 0.5000  4 As 3.19
Mo1 0.5000 0.5000 0.0000  4 As 2.39
Mo2 0.2500 0.7500 0.5000  4 As 2.39
As1 0.5240 0.1250 0.2500  2 Mo 2.39
As2 0.2260 0.6250 0.2500  2 Mo 2.39
As3 0.3750 0.4760 0.7500  2 Mo 2.39
As4 0.8750 0.7740 0.7500  2 Mo 2.39

calculated volume = 248.8 Å³ per cell
magnetization = 0.000 μB per formula unit

#b
Compound: MoAs2I
Source: the Alexandria database
Functional: PBE-GGA
Structure: optimized geometry

Unit cell a=4.7953 b=4.7953 c=4.7953 alpha=60.00 beta=60.00 gamma=60.00
Last column: nearest neighbours and their distance in Å.
Atoms (fractional coordinates):
I1 0.5000 0.5000 0.5000  8 As 2.94
Mo1 0.0000 0.0000 0.0000  8 As 2.94
As1 0.2500 0.2500 0.2500  4 Mo 2.94, 4 I 2.94
As2 0.7500 0.7500 0.7500  4 Mo 2.94, 4 I 2.94

calculated volume = 78.0 Å³ per cell
magnetization = 0.000 μB per formula unit

Tell me which of them is the most stable. Sure, it is #a.

#a
Compound: Sb2MoAsI
Source: the Alexandria database
Functional: PBE-GGA
Structure: optimized geometry

Unit cell a=5.3987 b=5.3987 c=5.4583 alpha=90.00 beta=90.00 gamma=90.00
Last column: nearest neighbours and their distance in Å.
Atoms (fractional coordinates):
I1 0.0000 0.0000 0.5000  2 As 2.73
Sb1 0.0000 0.5000 0.0000  2 As 2.70
Sb2 0.5000 0.0000 0.0000  2 As 2.70
Mo1 0.5000 0.5000 0.5000  4 I 3.82, 8 Sb 3.84
As1 0.0000 0.0000 0.0000  4 Sb 2.70, 2 I 2.73

calculated volume = 159.1 Å³ per cell
magnetization = 3.617 μB per formula unit

#b
Compound: Sb2MoAsI
Source: the Alexandria database
Functional: PBE-GGA
Structure: optimized geometry

Unit cell a=5.2644 b=5.2644 c=5.3143 alpha=90.00 beta=90.00 gamma=90.00
Last column: nearest neighbours and their distance in Å.
Atoms (fractional coordinates):
I1 0.0000 0.0000 0.5000  2 Mo 2.66
Sb1 0.0000 0.5000 0.0000  2 Mo 2.63
Sb2 0.5000 0.0000 0.0000  2 Mo 2.63
Mo1 0.0000 0.0000 0.0000  4 Sb 2.63, 2 I 2.66
As1 0.5000 0.5000 0.5000  4 I 3.72, 8 Sb 3.74

calculated volume = 147.3 Å³ per cell
magnetization = 1.062 μB per formula unit

Tell me which of them is the most stable. Sure, it is #b.